No. 1
DFT (PBE) results for Cu7Pd3Pt after structural relaxation.

The spin magnetization is 0.00 μB per cell. Its total energy is -49.831 eV per formula unit. For the formation energy, the calculation gives 44 kJ/mol of formula units. The energy above the most stable polymorph in this dataset comes out at 0 meV per atom.

abc: 2.6729 10.0067 11.9407
angles: 90.00 90.00 97.68
Element x y z (fractional)
Cu1 0.4652 0.9304 0.5843
Cu2 0.2770 0.5540 0.4180
Cu3 0.4064 0.8128 0.3975
Pd1 0.8511 0.7022 0.9320
Cu4 0.4064 0.8128 0.1025
Cu5 0.4652 0.9304 0.9158
Pd2 0.1489 0.2978 0.4320
Cu6 0.5936 0.1872 0.6025
Pd3 0.1489 0.2978 0.0680
Cu7 0.2770 0.5540 0.0820
Pd4 0.1697 0.3393 0.7500
Cu8 0.7230 0.4460 0.5820
Pt1 0.9809 0.9618 0.2500
Cu9 0.5348 0.0696 0.4158
Cu10 0.3883 0.7765 0.7500
Pd5 0.8303 0.6607 0.2500
Cu11 0.6117 0.2235 0.2500
Pd6 0.8511 0.7022 0.5680
Cu12 0.5348 0.0696 0.0842
Cu13 0.7230 0.4460 0.9180
Pt2 0.0191 0.0382 0.7500
Cu14 0.5936 0.1872 0.8975

No. 2
DFT (PBE) results for Cu6Pd12Pt after structural relaxation.

The spin magnetization is 0.00 μB per cell. Its total energy is -94.232 eV per formula unit. For the formation energy, the calculation gives -125 kJ/mol of formula units. The energy above the most stable polymorph in this dataset comes out at 0 meV per atom.

abc: 6.6939 7.2379 7.2379
angles: 69.06 72.04 107.96
Element x y z (fractional)
Pd1 0.8350 0.9449 0.4278
Pd2 0.6785 0.8866 0.8433
Cu1 0.4218 0.4723 0.2124
Pd3 0.5218 0.8433 0.2701
Pd4 0.1650 0.0551 0.5722
Pt1 0.0000 0.0000 0.0000
Cu2 0.0504 0.6847 0.5277
Pd5 0.7919 0.2701 0.8866
Cu3 0.9496 0.3153 0.4723
Pd6 0.2629 0.4278 0.6272
Cu4 0.5782 0.5277 0.7876
Pd7 0.8901 0.6272 0.9449
Cu5 0.6343 0.2124 0.3153
Pd8 0.1099 0.3728 0.0551
Pd9 0.7371 0.5722 0.3728
Pd10 0.4782 0.1567 0.7299
Pd11 0.2081 0.7299 0.1134
Pd12 0.3215 0.1134 0.1567
Cu6 0.3657 0.7876 0.6847

No. 3
DFT (PBE) results for Cu4Pd3Pt2 after structural relaxation.

The spin magnetization is 0.00 μB per cell. Its total energy is -43.925 eV per formula unit. For the formation energy, the calculation gives 12 kJ/mol of formula units. The energy above the most stable polymorph in this dataset comes out at 128 meV per atom.

abc: 4.8413 7.5350 7.5350
angles: 80.51 98.54 98.54
Element x y z (fractional)
Pd1 0.0419 0.9755 0.8256
Cu1 0.0293 0.7114 0.1102
Pd2 0.2500 0.5577 0.4423
Cu2 0.9707 0.2886 0.8898
Pt1 0.6299 0.7884 0.6243
Cu3 0.8837 0.1330 0.4976
Cu4 0.6163 0.5024 0.8670
Cu5 0.1163 0.8670 0.5024
Cu6 0.4707 0.8898 0.2886
Pd3 0.4581 0.1744 0.0245
Pt2 0.3701 0.2116 0.3757
Pt3 0.1299 0.6243 0.7884
Pt4 0.8701 0.3757 0.2116
Cu7 0.5293 0.1102 0.7114
Pd4 0.7500 0.4423 0.5577
Pd5 0.9581 0.0245 0.1744
Pd6 0.5419 0.8256 0.9755
Cu8 0.3837 0.4976 0.1330

No. 4
DFT (PBE) results for Cu3PdPt after structural relaxation.

The spin magnetization is 0.00 μB per cell. Its total energy is -17.998 eV per formula unit. For the formation energy, the calculation gives 533 kJ/mol of formula units. The energy above the most stable polymorph in this dataset comes out at 1225 meV per atom.

abc: 4.5434 4.5434 4.5434
angles: 90.00 90.00 90.00
Element x y z (fractional)
Pd1 0.0000 0.0000 0.0000
Pt1 0.5000 0.5000 0.5000
Cu1 0.0000 0.0000 0.5000
Cu2 0.5000 0.0000 0.0000
Cu3 0.0000 0.5000 0.0000

No. 5
DFT (PBE) results for Cu5Pd4Pt2 after structural relaxation.

The spin magnetization is 0.00 μB per cell. Its total energy is -53.809 eV per formula unit. For the formation energy, the calculation gives -46 kJ/mol of formula units. The energy above the most stable polymorph in this dataset comes out at 0 meV per atom.

abc: 2.7105 6.8545 8.5776
angles: 88.14 99.09 90.00
Element x y z (fractional)
Pd1 0.7617 0.8214 0.5234
Cu1 0.1885 0.5461 0.3769
Pd2 0.0810 0.2715 0.1621
Cu2 0.8115 0.4539 0.6231
Pd3 0.2383 0.1786 0.4766
Cu3 0.8701 0.0901 0.7402
Cu4 0.1299 0.9099 0.2598
Pt1 0.4404 0.3630 0.8808
Pd4 0.9190 0.7285 0.8379
Cu5 0.5000 0.0000 0.0000
Pt2 0.5596 0.6370 0.1192

No. 6
DFT (PBE) results for Cu8PdPt2 after structural relaxation.

The spin magnetization is 0.00 μB per cell. Its total energy is -50.166 eV per formula unit. For the formation energy, the calculation gives -12 kJ/mol of formula units. The energy above the most stable polymorph in this dataset comes out at 0 meV per atom.

abc: 4.2633 6.7626 6.5470
angles: 121.10 109.00 90.00
Element x y z (fractional)
Pt1 0.2143 0.7143 0.4286
Cu1 0.3605 0.1725 0.7209
Cu2 0.0000 0.6998 0.0000
Cu3 0.0000 0.3002 0.0000
Cu4 0.6395 0.8275 0.2791
Pd1 0.5000 0.0000 0.0000
Cu5 0.1443 0.1443 0.2885
Pt2 0.7857 0.2857 0.5714
Cu6 0.6395 0.4516 0.2791
Cu7 0.8557 0.8557 0.7115
Cu8 0.3605 0.5484 0.7209

No. 7
DFT (PBE) results for Cu15Pd2Pt2 after structural relaxation.

The spin magnetization is 0.00 μB per cell. Its total energy is -82.570 eV per formula unit. For the formation energy, the calculation gives 129 kJ/mol of formula units.

abc: 6.3630 6.3630 6.3630
angles: 82.48 82.48 82.48
Element x y z (fractional)
Cu1 0.0000 0.5000 0.0000
Cu2 0.1623 0.6503 0.6503
Cu3 0.0000 0.0000 0.5000
Cu4 0.3497 0.3497 0.8377
Cu5 0.6503 0.6503 0.1623
Pd1 0.1070 0.1070 0.1070
Cu6 0.8377 0.3497 0.3497
Pd2 0.8930 0.8930 0.8930
Pt1 0.3789 0.3789 0.3789
Cu7 0.3111 0.0000 0.6889
Cu8 0.3111 0.6889 0.0000
Cu9 0.6889 0.3111 0.0000
Cu10 0.6503 0.1623 0.6503
Cu11 0.6889 0.0000 0.3111
Cu12 0.0000 0.3111 0.6889
Cu13 0.3497 0.8377 0.3497
Pt2 0.6211 0.6211 0.6211
Cu14 0.5000 0.0000 0.0000
Cu15 0.0000 0.6889 0.3111

No. 8
DFT (PBE) results for CuPd5Pt3 after structural relaxation.

The spin magnetization is 0.00 μB per cell. Its total energy is -45.372 eV per formula unit. For the formation energy, the calculation gives 271 kJ/mol of formula units.

abc: 6.5739 6.5739 8.4020
angles: 113.03 113.03 90.00
Element x y z (fractional)
Pd1 0.5000 0.5000 0.0000
Pd2 0.4291 0.3747 0.3038
Cu1 0.7500 0.2500 0.5000
Pd3 0.8747 0.9291 0.3038
Pd4 0.5709 0.6253 0.6962
Pd5 0.3747 0.8747 0.3038
Pd6 0.6253 0.1253 0.6962
Pt1 0.3717 0.8717 0.0000
Pd7 0.0000 0.0000 0.0000
Pd8 0.1253 0.0709 0.6962
Pt2 0.6283 0.1283 0.0000
Pd9 0.0709 0.5709 0.6962
Pt3 0.2500 0.2500 0.5000
Cu2 0.2500 0.7500 0.5000
Pd10 0.9291 0.4291 0.3038
Pt4 0.1283 0.3717 0.0000
Pt5 0.7500 0.7500 0.5000
Pt6 0.8717 0.6283 0.0000

No. 9
DFT (PBE) results for CuPd8Pt2 after structural relaxation.

The spin magnetization is 0.01 μB per cell. Its total energy is -58.064 eV per formula unit. For the formation energy, the calculation gives -33 kJ/mol of formula units. The energy above the most stable polymorph in this dataset comes out at 0 meV per atom.

abc: 3.9455 6.2190 7.3374
angles: 104.95 105.60 90.00
Element x y z (fractional)
Pd1 0.0441 0.7305 0.0881
Pd2 0.5897 0.4473 0.1795
Pd3 0.6802 0.9090 0.3604
Pt1 0.2254 0.6335 0.4508
Pd4 0.1344 0.1770 0.2689
Pd5 0.9559 0.2695 0.9119
Pd6 0.8656 0.8230 0.7311
Pd7 0.3198 0.0910 0.6396
Cu1 0.5000 0.0000 0.0000
Pd8 0.4103 0.5527 0.8205
Pt2 0.7746 0.3665 0.5492

No. 10
DFT (PBE) results for CuPd2Pt8 after structural relaxation.

The spin magnetization is 0.00 μB per cell. Its total energy is -60.089 eV per formula unit. For the formation energy, the calculation gives 262 kJ/mol of formula units. The energy above the most stable polymorph in this dataset comes out at 234 meV per atom.

abc: 4.6804 6.8381 6.8381
angles: 61.08 77.14 77.14
Element x y z (fractional)
Cu1 0.0000 0.0000 0.0000
Pt1 0.9336 0.2274 0.2274
Pd1 0.5046 0.8787 0.8787
Pt2 0.8061 0.2293 0.6245
Pt3 0.0664 0.7726 0.7726
Pd2 0.4954 0.1213 0.1213
Pt4 0.3501 0.3607 0.3607
Pt5 0.6499 0.6393 0.6393
Pt6 0.1939 0.3755 0.7707
Pt7 0.1939 0.7707 0.3755
Pt8 0.8061 0.6245 0.2293